Record 1
A plane-wave DFT calculation with PBEsol was carried out for Li2Zr2O5 after structural relaxation.

```
Li2Zr2O5
1.0
5.586 0.053 0.044
1.777 5.296 0.044
2.413 1.753 6.919
Zr O Li
4 10 4
Direct
0.779 0.718 0.878 Zr
0.282 0.221 0.622 Zr
0.221 0.282 0.122 Zr
0.718 0.779 0.378 Zr
0.500 0.000 0.000 O
0.365 0.074 0.372 O
0.500 0.500 0.000 O
0.000 0.500 0.500 O
0.926 0.635 0.128 O
0.074 0.365 0.872 O
0.500 0.500 0.500 O
0.635 0.926 0.628 O
0.025 0.975 0.750 O
0.975 0.025 0.250 O
0.183 0.786 0.458 Li
0.214 0.817 0.042 Li
0.786 0.183 0.958 Li
0.817 0.214 0.542 Li
```

Values from the calculation:
- mass density (Mg/m³) = 4.52
- space group = C2/c
- volume (Å³/cell) = 203
- formation energy from raw total energies (eV/f.u.) = -26.34
- magnetization (μB per formula unit) = 0.000

***

Record 2
A plane-wave DFT calculation with PBEsol was carried out for BeSbSeN2 after structural relaxation.

```
BeSbSeN2
1.0
-3.468 -0.993 -1.199
0.695 -3.607 0.978
-1.698 0.821 4.233
N Sb Se Be
2 1 1 1
Direct
0.500 0.000 0.000 N
0.000 0.500 0.000 N
0.500 0.500 0.500 Sb
0.000 0.000 0.500 Se
0.000 0.000 0.000 Be
```

Values from the calculation:
- mass density (Mg/m³) = 5.90
- space group = P4/mmm
- volume (Å³/cell) = 67
- formation energy from raw total energies (eV/f.u.) = 5.43
- magnetization (μB per formula unit) = 2.090

***

Record 3
A plane-wave DFT calculation with PBEsol was carried out for HfZrTc2Ru after structural relaxation.

```
HfZrTc2Ru
1.0
4.620 0.000 0.000
0.000 4.620 0.000
0.000 0.000 4.702
Tc Zr Hf Ru
2 1 1 1
Direct
0.500 0.000 0.000 Tc
0.000 0.500 0.000 Tc
0.500 0.500 0.500 Zr
0.000 0.000 0.500 Hf
0.000 0.000 0.000 Ru
```

Values from the calculation:
- energy of formation from the pure elements (kcal/mol of atoms) = 22.17
- mass density (Mg/m³) = 9.38
- space group = P4/mmm
- volume (Å³/cell) = 100
- magnetization (μB per formula unit) = 0.001

***

Record 4
A plane-wave DFT calculation with PBEsol was carried out for SbS2Br after structural relaxation.

```
SbS2Br
1.0
-0.186 4.780 -0.297
-3.527 2.112 -2.464
-3.431 2.413 2.319
S Sb Br
2 1 1
Direct
0.250 0.250 0.250 S
0.750 0.750 0.750 S
0.500 0.500 0.500 Sb
0.000 0.000 0.000 Br
```

Values from the calculation:
- mass density (Mg/m³) = 5.67
- space group = Fm-3m
- volume (Å³/cell) = 78
- formation energy from raw total energies (eV/f.u.) = 1.38
- magnetization (μB per formula unit) = 0.001

***

Record 5
A plane-wave DFT calculation with PBEsol was carried out for Er3GaO6 after structural relaxation.

```
Er3GaO6
1.0
-0.917 -5.241 0.168
0.589 0.120 6.947
-6.804 1.159 -0.994
Er O Ga
6 12 2
Direct
0.479 0.913 0.702 Er
0.979 0.087 0.298 Er
0.929 0.602 0.398 Er
0.429 0.398 0.602 Er
0.479 0.298 0.087 Er
0.979 0.702 0.913 Er
0.204 0.677 0.643 O
0.691 0.576 0.105 O
0.191 0.105 0.576 O
0.704 0.323 0.357 O
0.167 0.783 0.217 O
0.191 0.424 0.895 O
0.704 0.643 0.677 O
0.157 0.037 0.963 O
0.691 0.895 0.424 O
0.657 0.963 0.037 O
0.204 0.357 0.323 O
0.667 0.217 0.783 O
0.008 0.193 0.807 Ga
0.508 0.807 0.193 Ga
```

Values from the calculation:
- mass density (Mg/m³) = 8.78
- space group = Cmc2_1
- volume (Å³/cell) = 252
- formation energy from raw total energies (eV/f.u.) = -32.63
- magnetization (μB per formula unit) = 0.000

***

Record 6
A plane-wave DFT calculation with PBEsol was carried out for Ba2TaPb after structural relaxation.

```
Ba2TaPb
1.0
-0.212 3.243 0.849
-5.324 0.510 -3.276
-0.804 -1.625 6.004
Ba Pb Ta
2 1 1
Direct
0.000 0.500 0.000 Ba
0.000 0.000 0.500 Ba
0.500 0.000 0.000 Pb
0.500 0.500 0.500 Ta
```

Values from the calculation:
- energy of formation from the pure elements (kcal/mol of atoms) = 14.33
- mass density (Mg/m³) = 9.14
- space group = Cmmm
- volume (Å³/cell) = 120
- magnetization (μB per formula unit) = 0.006

***

Record 7
A plane-wave DFT calculation with PBEsol was carried out for Sb2BrF15 after structural relaxation.

```
Sb2BrF15
1.0
-4.627 2.169 1.170
2.679 -3.604 13.634
6.416 12.575 2.063
Sb F Br
8 60 4
Direct
0.091 0.657 0.141 Sb
0.909 0.843 0.641 Sb
0.909 0.343 0.859 Sb
0.612 0.185 0.643 Sb
0.388 0.315 0.143 Sb
0.091 0.157 0.359 Sb
0.388 0.815 0.357 Sb
0.612 0.685 0.857 Sb
0.231 0.222 0.239 F
0.024 0.922 0.141 F
0.938 0.088 0.456 F
0.276 0.749 0.072 F
0.222 0.238 0.053 F
0.222 0.738 0.447 F
0.976 0.078 0.859 F
0.062 0.912 0.544 F
0.976 0.578 0.641 F
0.551 0.404 0.064 F
0.551 0.904 0.436 F
0.468 0.122 0.756 F
0.813 0.733 0.158 F
0.667 0.239 0.148 F
0.449 0.596 0.936 F
0.629 0.917 0.655 F
0.879 0.567 0.422 F
0.276 0.249 0.428 F
0.918 0.073 0.265 F
0.532 0.378 0.256 F
0.082 0.927 0.735 F
0.389 0.583 0.563 F
0.629 0.417 0.845 F
0.778 0.262 0.553 F
0.333 0.261 0.648 F
0.097 0.383 0.165 F
0.449 0.096 0.564 F
0.903 0.617 0.835 F
0.024 0.422 0.359 F
0.611 0.417 0.437 F
0.724 0.251 0.928 F
0.097 0.883 0.335 F
0.389 0.083 0.937 F
0.769 0.778 0.761 F
0.121 0.433 0.578 F
0.082 0.427 0.765 F
0.187 0.267 0.842 F
0.458 0.549 0.351 F
0.769 0.278 0.739 F
0.667 0.739 0.352 F
0.371 0.083 0.345 F
0.187 0.767 0.658 F
0.542 0.951 0.851 F
0.333 0.761 0.852 F
0.532 0.878 0.244 F
0.542 0.451 0.649 F
0.918 0.573 0.235 F
0.121 0.933 0.922 F
0.371 0.583 0.155 F
0.724 0.751 0.572 F
0.903 0.117 0.665 F
0.468 0.622 0.744 F
0.778 0.762 0.947 F
0.231 0.722 0.261 F
0.611 0.917 0.063 F
0.879 0.067 0.078 F
0.458 0.049 0.149 F
0.813 0.233 0.342 F
0.062 0.412 0.956 F
0.938 0.588 0.044 F
0.740 0.485 0.346 Br
0.260 0.515 0.654 Br
0.740 0.985 0.154 Br
0.260 0.015 0.846 Br
```

Values from the calculation:
- mass density (Mg/m³) = 3.77
- space group = P2_1/c
- volume (Å³/cell) = 1072
- formation energy from raw total energies (eV/f.u.) = -33.10
- magnetization (μB per formula unit) = 0.138

***

Record 8
A plane-wave DFT calculation with PBEsol was carried out for MgInSi2 after structural relaxation.

```
MgInSi2
1.0
-2.537 -2.964 0.962
1.153 -2.161 -3.618
3.785 0.613 3.479
Si Mg In
2 1 1
Direct
0.750 0.750 0.500 Si
0.250 0.250 0.500 Si
0.500 0.000 0.000 Mg
0.000 0.500 0.000 In
```

Values from the calculation:
- mass density (Mg/m³) = 4.35
- space group = Immm
- volume (Å³/cell) = 74
- formation energy from raw total energies (eV/f.u.) = 0.98
- magnetization (μB per formula unit) = 0.000

***

Record 9
A plane-wave DFT calculation with PBEsol was carried out for Co3Se4Cl2O10 after structural relaxation.

```
Co3Se4Cl2O10
1.0
5.632 -0.029 0.000
2.191 7.008 0.000
-1.095 -3.504 6.857
Cl O Se Co
2 10 4 3
Direct
0.746 0.793 0.000 Cl
0.254 0.207 0.000 Cl
0.236 0.755 0.784 O
0.500 0.389 0.778 O
0.764 0.245 0.216 O
0.500 0.611 0.222 O
0.764 0.029 0.784 O
0.236 0.971 0.216 O
0.718 0.596 0.558 O
0.282 0.404 0.442 O
0.718 0.038 0.442 O
0.282 0.962 0.558 O
0.214 0.816 0.322 Se
0.214 0.494 0.678 Se
0.786 0.184 0.678 Se
0.786 0.506 0.322 Se
0.500 0.877 0.754 Co
0.500 0.123 0.246 Co
0.000 0.000 0.000 Co
```

Values from the calculation:
- mass density (Mg/m³) = 4.43
- space group = C2/m
- volume (Å³/cell) = 271
- formation energy from raw total energies (eV/f.u.) = -12.80
- magnetization (μB per formula unit) = 9.001

***

Record 10
A plane-wave DFT calculation with PBEsol was carried out for Mn3O5F after structural relaxation.

```
Mn3O5F
1.0
-3.786 2.161 -0.940
-1.025 -3.490 -3.895
-3.495 -3.885 5.144
O Mn F
10 6 2
Direct
0.194 0.878 0.934 O
0.805 0.286 0.736 O
0.697 0.455 0.398 O
0.694 0.122 0.066 O
0.305 0.046 0.601 O
0.305 0.714 0.264 O
0.806 0.620 0.060 O
0.805 0.954 0.399 O
0.197 0.545 0.602 O
0.306 0.380 0.940 O
0.986 0.249 0.511 Mn
0.486 0.751 0.489 Mn
0.022 0.575 0.835 Mn
0.987 0.909 0.163 Mn
0.487 0.091 0.837 Mn
0.522 0.425 0.165 Mn
0.198 0.219 0.269 F
0.698 0.781 0.731 F
```

Values from the calculation:
- polymorph energy (0 for the lowest one) (eV per atom) = 0.024
- mass density (Mg/m³) = 5.04
- space group = P2_1
- volume (Å³/cell) = 174
- formation energy from raw total energies (eV/f.u.) = -15.48
- magnetization (μB per formula unit) = 10.006

***

Record 11
A plane-wave DFT calculation with PBEsol was carried out for Sr2NiIr after structural relaxation.

```
Sr2NiIr
1.0
-1.426 0.766 3.840
1.058 -4.037 1.198
6.064 3.702 -0.748
Sr Ir Ni
2 1 1
Direct
0.002 0.002 0.004 Sr
0.746 0.246 0.492 Sr
0.590 0.590 0.180 Ir
0.162 0.662 0.324 Ni
```

Values from the calculation:
- energy of formation from the pure elements (kcal/mol of atoms) = 1.43
- mass density (Mg/m³) = 6.04
- space group = Imm2
- volume (Å³/cell) = 117
- magnetization (μB per formula unit) = 0.220

***

Record 12
A plane-wave DFT calculation with PBEsol was carried out for Te2OsPbN after structural relaxation.

```
Te2OsPbN
1.0
3.692 0.000 0.000
0.000 5.544 0.000
0.000 0.000 5.544
Te Pb N Os
2 1 1 1
Direct
0.000 0.500 0.000 Te
0.000 0.000 0.500 Te
0.500 0.500 0.500 Pb
0.500 0.000 0.000 N
0.000 0.000 0.000 Os
```

Values from the calculation:
- mass density (Mg/m³) = 9.76
- space group = P4/mmm
- volume (Å³/cell) = 113
- formation energy from raw total energies (eV/f.u.) = 0.97
- magnetization (μB per formula unit) = 0.000

***

What did the sixth record say?
A plane-wave DFT calculation with PBEsol was carried out for Ba2TaPb after structural relaxation.

```
Ba2TaPb
1.0
-0.212 3.243 0.849
-5.324 0.510 -3.276
-0.804 -1.625 6.004
Ba Pb Ta
2 1 1
Direct
0.000 0.500 0.000 Ba
0.000 0.000 0.500 Ba
0.500 0.000 0.000 Pb
0.500 0.500 0.500 Ta
```

Values from the calculation:
- energy of formation from the pure elements (kcal/mol of atoms) = 14.33
- mass density (Mg/m³) = 9.14
- space group = Cmmm
- volume (Å³/cell) = 120
- magnetization (μB per formula unit) = 0.006

***

Which of these has the highest magnetization?
Mn3O5F

***

Among the records above, which one has the lowest mass density?
Sb2BrF15